1.
## NdZnPd2 (PBE-GGA)

Data for an optimized crystal structure of NdZnPd2.

Properties
- E: -4.824 eV/atom

a = 7.426 Å, b = 7.265 Å, c = 5.720 Å
α = 90.00°, β = 90.00°, γ = 90.00°
Space group Pnma (No. 62)
Inequivalent atoms, fractional coordinates:
Nd (0.029, 0.250, 0.139) (multiplicity 4)
Zn (0.116, 0.750, 0.356) (multiplicity 4)
Pd (0.181, 0.052, 0.588) (multiplicity 8)

2.
## Nd3Zn8Pd3 (PBE-GGA)

Data for an optimized crystal structure of Nd3Zn8Pd3.

Properties
- E: -3.361 eV/atom

a = 4.286 Å, b = 9.422 Å, c = 13.137 Å
α = 90.00°, β = 90.00°, γ = 90.00°
Space group Immm (No. 71)
Inequivalent atoms, fractional coordinates:
Nd (0.000, 0.000, 0.000) (multiplicity 2)
Nd (0.000, 0.000, 0.323) (multiplicity 4)
Zn (0.000, 0.277, 0.124) (multiplicity 8)
Zn (0.000, 0.362, 0.322) (multiplicity 8)
Pd (0.000, 0.229, 0.500) (multiplicity 4)
Pd (0.000, 0.500, 0.000) (multiplicity 2)

3.
## Nd2ZnPd6 (PBE-GGA)

Data for an optimized crystal structure of Nd2ZnPd6.

Properties
- Relative energy among the computed polymorphs: 0.00 eV per formula unit

a = 5.8109 Å, b = 5.8109 Å, c = 5.8085 Å
α = 90.00°, β = 90.00°, γ = 120.00°
Space group P-3m1 (No. 164)
Inequivalent atoms, fractional coordinates:
Nd (0.3333, 0.6667, 0.3186) (multiplicity 2)
Zn (0.0000, 0.0000, 0.5000) (multiplicity 1)
Pd (0.1739, 0.3477, 0.8113) (multiplicity 6)

4.
## NdZrZnPd (PBE-GGA)

Data for an optimized crystal structure of NdZrZnPd.

Properties
- E: -5.270 eV/atom

a = 7.017 Å, b = 7.017 Å, c = 7.017 Å
α = 90.00°, β = 90.00°, γ = 90.00°
Space group F-43m (No. 216)
Inequivalent atoms, fractional coordinates:
Nd (0.000, 0.000, 0.000) (multiplicity 4)
Zr (0.000, 0.000, 0.500) (multiplicity 4)
Zn (0.250, 0.250, 0.750) (multiplicity 4)
Pd (0.250, 0.250, 0.250) (multiplicity 4)

5.
## NdZrPd (PBE-GGA)

Data for an optimized crystal structure of NdZrPd.

Properties
- Relative energy among the computed polymorphs: 0.00 eV per formula unit

a = 4.489 Å, b = 4.489 Å, c = 14.648 Å
α = 90.00°, β = 90.00°, γ = 90.00°
Space group I4/mmm (No. 139)
Inequivalent atoms, fractional coordinates:
Nd (0.000, 0.000, 0.181) (multiplicity 4)
Zr (0.000, 0.500, 0.000) (multiplicity 4)
Pd (0.000, 0.000, 0.375) (multiplicity 4)

6.
## Nd2ZrPd9 (PBE-GGA)

Data for an optimized crystal structure of Nd2ZrPd9.

Properties
- E: -6.191 eV/atom

a = 4.138 Å, b = 4.138 Å, c = 12.479 Å
α = 90.00°, β = 90.00°, γ = 90.00°
Space group P4/mmm (No. 123)
Inequivalent atoms, fractional coordinates:
Nd (0.000, 0.000, 0.171) (multiplicity 2)
Zr (0.000, 0.000, 0.500) (multiplicity 1)
Pd (0.000, 0.500, 0.000) (multiplicity 2)
Pd (0.000, 0.500, 0.345) (multiplicity 4)
Pd (0.500, 0.500, 0.173) (multiplicity 2)
Pd (0.500, 0.500, 0.500) (multiplicity 1)

7.
## NdZrPd (PBE-GGA)

Data for an optimized crystal structure of NdZrPd.

Properties
- Relative energy among the computed polymorphs: 0.17 eV per formula unit

a = 3.489 Å, b = 3.489 Å, c = 11.802 Å
α = 90.00°, β = 90.00°, γ = 90.00°
Space group I4mm (No. 107)
Inequivalent atoms, fractional coordinates:
Nd (0.000, 0.000, 0.000) (multiplicity 2)
Zr (0.000, 0.000, 0.297) (multiplicity 2)
Pd (0.000, 0.000, 0.683) (multiplicity 2)

8.
## PmNd6 (PBE-GGA)

Data for an optimized crystal structure of PmNd6.

Properties
- Relative energy among the computed polymorphs: 0.00 eV per formula unit

a = 15.3806 Å, b = 15.3806 Å, c = 3.6210 Å
α = 90.00°, β = 90.00°, γ = 120.00°
Space group R-3 (No. 148, hexagonal axes)
Inequivalent atoms, fractional coordinates:
Pm (0.0000, 0.0000, 0.0000) (multiplicity 3)
Nd (0.0351, 0.2307, 0.7291) (multiplicity 18)

9.
## Pm2Nd5 (PBE-GGA)

Data for an optimized crystal structure of Pm2Nd5.

Properties
- Relative energy among the computed polymorphs: 0.00 eV per formula unit

a = 9.674 Å, b = 6.106 Å, c = 9.348 Å
α = 90.00°, β = 117.77°, γ = 90.00°
Space group C2/m (No. 12)
Inequivalent atoms, fractional coordinates:
Pm (0.215, 0.000, 0.143) (multiplicity 4)
Nd (0.000, 0.500, 0.000) (multiplicity 2)
Nd (0.072, 0.000, 0.716) (multiplicity 4)
Nd (0.144, 0.500, 0.429) (multiplicity 4)

10.
## Pm8Nd (PBE-GGA)

Data for an optimized crystal structure of Pm8Nd.

Properties
- E: -4.740 eV/atom

a = 10.961 Å, b = 10.961 Å, c = 5.169 Å
α = 90.00°, β = 90.00°, γ = 90.00°
Space group I4/mmm (No. 139)
Inequivalent atoms, fractional coordinates:
Pm (0.000, 0.334, 0.000) (multiplicity 8)
Pm (0.167, 0.167, 0.500) (multiplicity 8)
Nd (0.000, 0.000, 0.000) (multiplicity 2)

11.
## PmNd (PBE-GGA)

Data for an optimized crystal structure of PmNd.

Properties
- Relative energy among the computed polymorphs: 1.25 eV per formula unit

a = 6.580 Å, b = 6.580 Å, c = 6.580 Å
α = 90.00°, β = 90.00°, γ = 90.00°
Space group Fm-3m (No. 225)
Inequivalent atoms, fractional coordinates:
Pm (0.000, 0.000, 0.000) (multiplicity 4)
Nd (0.000, 0.000, 0.500) (multiplicity 4)

12.
## Pm4Nd3 (PBE-GGA)

Data for an optimized crystal structure of Pm4Nd3.

Properties
- Relative energy among the computed polymorphs: 0.00 eV per formula unit

a = 11.585 Å, b = 5.183 Å, c = 8.200 Å
α = 90.00°, β = 98.08°, γ = 90.00°
Space group C2/m (No. 12)
Inequivalent atoms, fractional coordinates:
Pm (0.071, 0.000, 0.213) (multiplicity 4)
Pm (0.143, 0.500, 0.929) (multiplicity 4)
Nd (0.000, 0.500, 0.500) (multiplicity 2)
Nd (0.214, 0.000, 0.644) (multiplicity 4)

13.
## Pm13Nd3 (PBE-GGA)

Data for an optimized crystal structure of Pm13Nd3.

Properties
- Relative energy among the computed polymorphs: 0.00 eV per formula unit

a = 10.328 Å, b = 10.345 Å, c = 10.347 Å
α = 90.00°, β = 90.00°, γ = 90.00°
Space group Amm2 (No. 38)
Inequivalent atoms, fractional coordinates:
Pm (0.000, 0.000, 0.000) (multiplicity 2)
Pm (0.000, 0.000, 0.500) (multiplicity 2)
Pm (0.000, 0.249, 0.250) (multiplicity 4)
Pm (0.250, 0.000, 0.250) (multiplicity 4)
Pm (0.250, 0.250, 0.000) (multiplicity 8)
Pm (0.500, 0.000, 0.001) (multiplicity 2)
Pm (0.500, 0.250, 0.250) (multiplicity 4)
Nd (0.250, 0.000, 0.750) (multiplicity 4)
Nd (0.500, 0.000, 0.499) (multiplicity 2)

14.
## Pm4Nd3 (PBE-GGA)

Data for an optimized crystal structure of Pm4Nd3.

Properties
- Relative energy among the computed polymorphs: 0.02 eV per formula unit

a = 3.667 Å, b = 3.667 Å, c = 36.305 Å
α = 90.00°, β = 90.00°, γ = 90.00°
Space group I4/mmm (No. 139)
Inequivalent atoms, fractional coordinates:
Pm (0.000, 0.000, 0.072) (multiplicity 4)
Pm (0.000, 0.000, 0.357) (multiplicity 4)
Nd (0.000, 0.000, 0.214) (multiplicity 4)
Nd (0.000, 0.000, 0.500) (multiplicity 2)

15.
## Pm3Nd (PBE-GGA)

Data for an optimized crystal structure of Pm3Nd.

Properties
- Relative energy among the computed polymorphs: 0.11 eV per formula unit

a = 3.683 Å, b = 11.859 Å, c = 6.393 Å
α = 90.00°, β = 90.00°, γ = 90.00°
Space group Imm2 (No. 44)
Inequivalent atoms, fractional coordinates:
Pm (0.000, 0.000, 0.000) (multiplicity 2)
Pm (0.000, 0.250, 0.670) (multiplicity 4)
Nd (0.000, 0.500, 0.000) (multiplicity 2)

16.
## PmNd (PBE-GGA)

Data for an optimized crystal structure of PmNd.

Properties
- Relative energy among the computed polymorphs: 0.01 eV per formula unit

a = 5.182 Å, b = 5.182 Å, c = 10.410 Å
α = 90.00°, β = 90.00°, γ = 90.00°
Space group I4_1/amd (No. 141, origin choice 2)
Inequivalent atoms, fractional coordinates:
Pm (0.000, 0.250, 0.375) (multiplicity 4)
Nd (0.000, 0.250, 0.875) (multiplicity 4)

17.
## Pm3Nd (PBE-GGA)

Data for an optimized crystal structure of Pm3Nd.

Properties
- Relative energy among the computed polymorphs: 0.54 eV per formula unit

a = 8.216 Å, b = 8.216 Å, c = 8.216 Å
α = 90.00°, β = 90.00°, γ = 90.00°
Space group Fm-3m (No. 225)
Inequivalent atoms, fractional coordinates:
Pm (0.000, 0.000, 0.000) (multiplicity 4)
Pm (0.250, 0.250, 0.250) (multiplicity 8)
Nd (0.000, 0.000, 0.500) (multiplicity 4)

18.
## PmNd3 (PBE-GGA)

Data for an optimized crystal structure of PmNd3.

Properties
- Relative energy among the computed polymorphs: 0.07 eV per formula unit

a = 7.4337 Å, b = 7.4337 Å, c = 5.9288 Å
α = 90.00°, β = 90.00°, γ = 120.00°
Space group P6_3/mmc (No. 194)
Inequivalent atoms, fractional coordinates:
Pm (0.3333, 0.6667, 0.2500) (multiplicity 2)
Nd (0.1668, 0.3335, 0.7500) (multiplicity 6)

19.
## Pm3Nd (PBE-GGA)

Data for an optimized crystal structure of Pm3Nd.

Properties
- Relative energy among the computed polymorphs: 0.10 eV per formula unit

a = 7.4075 Å, b = 7.4075 Å, c = 5.8936 Å
α = 90.00°, β = 90.00°, γ = 120.00°
Space group P6_3/mmc (No. 194)
Inequivalent atoms, fractional coordinates:
Pm (0.1665, 0.3330, 0.2500) (multiplicity 6)
Nd (0.3333, 0.6667, 0.7500) (multiplicity 2)

20.
## PmNd3 (PBE-GGA)

Data for an optimized crystal structure of PmNd3.

Properties
- Relative energy among the computed polymorphs: 0.00 eV per formula unit

a = 5.192 Å, b = 5.192 Å, c = 5.192 Å
α = 90.00°, β = 90.00°, γ = 90.00°
Space group Pm-3m (No. 221)
Inequivalent atoms, fractional coordinates:
Pm (0.000, 0.000, 0.000) (multiplicity 1)
Nd (0.000, 0.500, 0.500) (multiplicity 3)